[1]
Below is crystalline Be2FeReRh at its relaxed geometry, with properties calculated at the PBE level.

Cell: 3.9319 3.9319 4.3436 Å, 90.00 90.00 90.00°
Closest atoms and distances in Å follow each position.
Fractional positions:
Be: 0.0000 0.5000 0.0000  2 Fe 1.97
Be: 0.5000 0.0000 0.0000  2 Fe 1.97
Fe: 0.0000 0.0000 0.0000  4 Be 1.97, 2 Re 2.17
Re: 0.0000 0.0000 0.5000  2 Fe 2.17
Rh: 0.5000 0.5000 0.5000  4 Re 2.78, 8 Be 2.93

Calculated values
Crystal system = tetragonal
ΔH_f (0 K) = 0.871 eV/atom
Magnetic moment = 0.000 μB per atom
Space-group type = P4/mmm (123)

[2]
Below is crystalline BeFe2ReRh at its relaxed geometry, with properties calculated at the PBE level.

Cell: 3.8518 3.8518 4.0775 Å, 90.00 90.00 90.00°
Closest atoms and distances in Å follow each position.
Fractional positions:
Be: 0.0000 0.0000 0.0000  4 Fe 1.93, 2 Re 2.04
Fe: 0.0000 0.5000 0.0000  2 Be 1.93
Fe: 0.5000 0.0000 0.0000  2 Be 1.93
Re: 0.0000 0.0000 0.5000  2 Be 2.04
Rh: 0.5000 0.5000 0.5000  4 Re 2.72, 8 Fe 2.80

Calculated values
Crystal system = tetragonal
ΔH_f (0 K) = 0.671 eV/atom
Magnetic moment = 0.000 μB per atom
Space-group type = P4/mmm (123)

[3]
Below is crystalline BeFeReRu at its relaxed geometry, with properties calculated at the PBE level.

Cell: 4.1156 4.1156 4.1156 Å, 60.00 60.00 60.00°
Closest atoms and distances in Å follow each position.
Fractional positions:
Be: 0.0000 0.0000 0.0000  4 Fe 2.52, 4 Ru 2.52
Fe: 0.2500 0.2500 0.2500  4 Re 2.52, 4 Be 2.52
Re: 0.5000 0.5000 0.5000  4 Ru 2.52, 4 Fe 2.52
Ru: 0.7500 0.7500 0.7500  4 Re 2.52, 4 Be 2.52

Calculated values
Crystal system = cubic
ΔH_f (0 K) = 0.049 eV/atom
Magnetic moment = 0.179 μB per atom
Space-group type = F-43m (216)

[4]
Below is crystalline Be2Fe5Re2Si at its relaxed geometry, with properties calculated at the PBE level.

Cell: 8.7090 8.7090 2.7771 Å, 90.00 90.00 90.00°
Closest atoms and distances in Å follow each position.
Fractional positions:
Be: 0.1245 0.3755 0.0000  6 Fe 2.07-2.11
Be: 0.3755 0.8755 0.0000  6 Fe 2.07-2.11
Be: 0.6245 0.1245 0.0000  6 Fe 2.07-2.11
Be: 0.8755 0.6245 0.0000  6 Fe 2.07-2.11
Fe: 0.0000 0.5000 0.5000  4 Be 2.07
Fe: 0.0595 0.2043 0.5000  2 Be 2.11, 2 Si 2.32
Fe: 0.2043 0.9405 0.5000  2 Be 2.11, 2 Si 2.32
Fe: 0.2957 0.4405 0.5000  2 Be 2.11, 2 Si 2.32
Fe: 0.4405 0.7043 0.5000  2 Be 2.11, 2 Si 2.32
Fe: 0.5000 0.0000 0.5000  4 Be 2.07
Fe: 0.5595 0.2957 0.5000  2 Be 2.11, 2 Si 2.32
Fe: 0.7043 0.5595 0.5000  2 Be 2.11, 2 Si 2.32
Fe: 0.7957 0.0595 0.5000  2 Be 2.11, 2 Si 2.32
Fe: 0.9405 0.7957 0.5000  2 Be 2.11, 2 Si 2.32
Re: 0.1768 0.6768 0.0000  3 Be 2.45-2.66, 10 Fe 2.58-2.69
Re: 0.3232 0.1768 0.0000  3 Be 2.45-2.66, 10 Fe 2.58-2.69
Re: 0.6768 0.8232 0.0000  3 Be 2.45-2.66, 10 Fe 2.58-2.69
Re: 0.8232 0.3232 0.0000  3 Be 2.45-2.66, 10 Fe 2.58-2.69
Si: 0.0000 0.0000 0.0000  8 Fe 2.32
Si: 0.5000 0.5000 0.0000  8 Fe 2.32

Calculated values
Uncorrected formation energy = -0.16 eV/atom
Crystal system = tetragonal
Magnetic moment = 0.000 μB per atom
Space-group type = P4/mbm (127)

[5]
Below is crystalline Be2Fe5ReTc2 at its relaxed geometry, with properties calculated at the PBE level.

Cell: 7.9473 7.9473 3.5836 Å, 90.00 90.00 90.00°
Closest atoms and distances in Å follow each position.
Fractional positions:
Be: 0.1169 0.3831 0.0000  6 Fe 2.22-2.30, 3 Tc 2.30-2.39
Be: 0.3831 0.8831 0.0000  6 Fe 2.22-2.30, 3 Tc 2.30-2.39
Be: 0.6169 0.1169 0.0000  6 Fe 2.22-2.30, 3 Tc 2.30-2.39
Be: 0.8831 0.6169 0.0000  6 Fe 2.22-2.30, 3 Tc 2.30-2.39
Fe: 0.0000 0.5000 0.5000  4 Be 2.22, 4 Fe 2.36
Fe: 0.0645 0.2103 0.5000  2 Be 2.30, 4 Fe 2.36-2.53, 2 Re 2.50
Fe: 0.2103 0.9355 0.5000  2 Be 2.30, 4 Fe 2.36-2.53, 2 Re 2.50
Fe: 0.2897 0.4355 0.5000  2 Be 2.30, 4 Fe 2.36-2.53, 2 Re 2.50
Fe: 0.4355 0.7103 0.5000  2 Be 2.30, 4 Fe 2.36-2.53, 2 Re 2.50
Fe: 0.5000 0.0000 0.5000  4 Be 2.22, 4 Fe 2.36
Fe: 0.5645 0.2897 0.5000  2 Be 2.30, 4 Fe 2.36-2.53, 2 Re 2.50
Fe: 0.7103 0.5645 0.5000  2 Be 2.30, 4 Fe 2.36-2.53, 2 Re 2.50
Fe: 0.7897 0.0645 0.5000  2 Be 2.30, 4 Fe 2.36-2.53, 2 Re 2.50
Fe: 0.9355 0.7897 0.5000  2 Be 2.30, 4 Fe 2.36-2.53, 2 Re 2.50
Re: 0.0000 0.0000 0.0000  8 Fe 2.50
Re: 0.5000 0.5000 0.0000  8 Fe 2.50
Tc: 0.1781 0.6781 0.0000  3 Be 2.30-2.39
Tc: 0.3219 0.1781 0.0000  3 Be 2.30-2.39
Tc: 0.6781 0.8219 0.0000  3 Be 2.30-2.39
Tc: 0.8219 0.3219 0.0000  3 Be 2.30-2.39

Calculated values
Crystal system = tetragonal
ΔH_f (0 K) = 0.037 eV/atom
Magnetic moment = 0.628 μB per atom
Space-group type = P4/mbm (127)

[6]
Below is crystalline BeFeReTc at its relaxed geometry, with properties calculated at the PBE level.

Cell: 4.1288 4.1288 4.1288 Å, 60.00 60.00 60.00°
Closest atoms and distances in Å follow each position.
Fractional positions:
Be: 0.0000 0.0000 0.0000  4 Fe 2.53, 4 Tc 2.53
Fe: 0.7500 0.7500 0.7500  4 Re 2.53, 4 Be 2.53
Re: 0.5000 0.5000 0.5000  4 Fe 2.53, 4 Tc 2.53
Tc: 0.2500 0.2500 0.2500  4 Re 2.53, 4 Be 2.53

Calculated values
Crystal system = cubic
ΔH_f (0 K) = 0.020 eV/atom
Magnetic moment = 0.000 μB per atom
Space-group type = F-43m (216)

[7]
Below is crystalline Be2Fe5Re2Tc at its relaxed geometry, with properties calculated at the PBE level.

Cell: 8.0164 8.0164 3.4962 Å, 90.00 90.00 90.00°
Closest atoms and distances in Å follow each position.
Fractional positions:
Be: 0.1158 0.3842 0.0000  6 Fe 2.19-2.27, 3 Re 2.33-2.42
Be: 0.3842 0.8842 0.0000  6 Fe 2.19-2.27, 3 Re 2.33-2.42
Be: 0.6158 0.1158 0.0000  6 Fe 2.19-2.27, 3 Re 2.33-2.42
Be: 0.8842 0.6158 0.0000  6 Fe 2.19-2.27, 3 Re 2.33-2.42
Fe: 0.0000 0.5000 0.5000  4 Be 2.19, 4 Fe 2.37
Fe: 0.0632 0.2111 0.5000  2 Be 2.27, 3 Fe 2.37-2.50, 2 Tc 2.49
Fe: 0.2111 0.9368 0.5000  2 Be 2.27, 3 Fe 2.37-2.50, 2 Tc 2.49
Fe: 0.2889 0.4368 0.5000  2 Be 2.27, 3 Fe 2.37-2.50, 2 Tc 2.49
Fe: 0.4368 0.7111 0.5000  2 Be 2.27, 3 Fe 2.37-2.50, 2 Tc 2.49
Fe: 0.5000 0.0000 0.5000  4 Be 2.19, 4 Fe 2.37
Fe: 0.5632 0.2889 0.5000  2 Be 2.27, 3 Fe 2.37-2.50, 2 Tc 2.49
Fe: 0.7111 0.5632 0.5000  2 Be 2.27, 3 Fe 2.37-2.50, 2 Tc 2.49
Fe: 0.7889 0.0632 0.5000  2 Be 2.27, 3 Fe 2.37-2.50, 2 Tc 2.49
Fe: 0.9368 0.7889 0.5000  2 Be 2.27, 3 Fe 2.37-2.50, 2 Tc 2.49
Re: 0.1790 0.6790 0.0000  3 Be 2.33-2.42
Re: 0.3210 0.1790 0.0000  3 Be 2.33-2.42
Re: 0.6790 0.8210 0.0000  3 Be 2.33-2.42
Re: 0.8210 0.3210 0.0000  3 Be 2.33-2.42
Tc: 0.0000 0.0000 0.0000  8 Fe 2.49
Tc: 0.5000 0.5000 0.0000  8 Fe 2.49

Calculated values
Crystal system = tetragonal
ΔH_f (0 K) = 0.060 eV/atom
Magnetic moment = 0.557 μB per atom
Space-group type = P4/mbm (127)

[8]
Below is crystalline Be2Fe5ReW2 at its relaxed geometry, with properties calculated at the PBE level.

Cell: 8.5464 8.5464 3.1133 Å, 90.00 90.00 90.00°
Closest atoms and distances in Å follow each position.
Fractional positions:
Be: 0.1187 0.3813 0.0000  6 Fe 2.12-2.17
Be: 0.3813 0.8813 0.0000  6 Fe 2.12-2.17
Be: 0.6187 0.1187 0.0000  6 Fe 2.12-2.17
Be: 0.8813 0.6187 0.0000  6 Fe 2.12-2.17
Fe: 0.0000 0.5000 0.5000  4 Be 2.12
Fe: 0.0695 0.2117 0.5000  2 Be 2.17
Fe: 0.2117 0.9305 0.5000  2 Be 2.17
Fe: 0.2883 0.4305 0.5000  2 Be 2.17
Fe: 0.4305 0.7117 0.5000  2 Be 2.17
Fe: 0.5000 0.0000 0.5000  4 Be 2.12
Fe: 0.5695 0.2883 0.5000  2 Be 2.17
Fe: 0.7117 0.5695 0.5000  2 Be 2.17
Fe: 0.7883 0.0695 0.5000  2 Be 2.17
Fe: 0.9305 0.7883 0.5000  2 Be 2.17
Re: 0.0000 0.0000 0.0000  8 Fe 2.46
Re: 0.5000 0.5000 0.0000  8 Fe 2.46
W: 0.1760 0.6760 0.0000  3 Be 2.48-2.57, 6 Fe 2.64-2.69
W: 0.3240 0.1760 0.0000  3 Be 2.48-2.57, 6 Fe 2.64-2.69
W: 0.6760 0.8240 0.0000  3 Be 2.48-2.57, 6 Fe 2.64-2.69
W: 0.8240 0.3240 0.0000  3 Be 2.48-2.57, 6 Fe 2.64-2.69

Calculated values
Crystal system = tetragonal
ΔH_f (0 K) = 0.006 eV/atom
Magnetic moment = 0.227 μB per atom
Space-group type = P4/mbm (127)

[9]
Below is crystalline BeFeRe2W at its relaxed geometry, with properties calculated at the PBE level.

Cell: 4.3926 4.3926 4.4022 Å, 90.00 90.00 90.00°
Closest atoms and distances in Å follow each position.
Fractional positions:
Be: 0.0000 0.0000 0.0000  4 W 3.11, 8 Re 3.11
Fe: 0.5000 0.5000 0.5000  4 Re 2.20, 2 W 2.20
Re: 0.0000 0.5000 0.5000  2 Fe 2.20
Re: 0.5000 0.0000 0.5000  2 Fe 2.20
W: 0.5000 0.5000 0.0000  2 Fe 2.20

Calculated values
Crystal system = tetragonal
ΔH_f (0 K) = 1.707 eV/atom
Magnetic moment = 0.000 μB per atom
Space-group type = P4/mmm (123)

[10]
Below is crystalline Be2Fe5Re2W at its relaxed geometry, with properties calculated at the PBE level.

Cell: 8.4258 8.4258 3.1788 Å, 90.00 90.00 90.00°
Closest atoms and distances in Å follow each position.
Fractional positions:
Be: 0.1193 0.3807 0.0000  6 Fe 2.13-2.18
Be: 0.3807 0.8807 0.0000  6 Fe 2.13-2.18
Be: 0.6193 0.1193 0.0000  6 Fe 2.13-2.18
Be: 0.8807 0.6193 0.0000  6 Fe 2.13-2.18
Fe: 0.0000 0.5000 0.5000  4 Be 2.13
Fe: 0.0674 0.2121 0.5000  2 Be 2.18
Fe: 0.2121 0.9326 0.5000  2 Be 2.18
Fe: 0.2879 0.4326 0.5000  2 Be 2.18
Fe: 0.4326 0.7121 0.5000  2 Be 2.18
Fe: 0.5000 0.0000 0.5000  4 Be 2.13
Fe: 0.5674 0.2879 0.5000  2 Be 2.18
Fe: 0.7121 0.5674 0.5000  2 Be 2.18
Fe: 0.7879 0.0674 0.5000  2 Be 2.18
Fe: 0.9326 0.7879 0.5000  2 Be 2.18
Re: 0.1756 0.6756 0.0000  3 Be 2.44-2.53, 6 Fe 2.63-2.70
Re: 0.3244 0.1756 0.0000  3 Be 2.44-2.53, 6 Fe 2.63-2.70
Re: 0.6756 0.8244 0.0000  3 Be 2.44-2.53, 6 Fe 2.63-2.70
Re: 0.8244 0.3244 0.0000  3 Be 2.44-2.53, 6 Fe 2.63-2.70
W: 0.0000 0.0000 0.0000  8 Fe 2.46
W: 0.5000 0.5000 0.0000  8 Fe 2.46

Calculated values
Crystal system = tetragonal
ΔH_f (0 K) = 0.037 eV/atom
Magnetic moment = 0.482 μB per atom
Space-group type = P4/mbm (127)

[11]
Below is crystalline BeFe2Rh at its relaxed geometry, with properties calculated at the PBE level.

Cell: 2.8858 3.8622 4.1472 Å, 90.00 90.00 90.00°
Closest atoms and distances in Å follow each position.
Fractional positions:
Be: 0.0000 0.0000 0.0000  4 Rh 2.41, 4 Fe 2.53
Fe: 0.0000 0.5000 0.5000  4 Fe 2.41, 4 Rh 2.53
Fe: 0.5000 0.0000 0.5000  4 Fe 2.41, 4 Be 2.53
Rh: 0.5000 0.5000 0.0000  4 Be 2.41, 4 Fe 2.53

Calculated values
Crystal system = orthorhombic
ΔH_f (0 K) = -0.150 eV/atom
Magnetic moment = 1.343 μB per atom
Space-group type = Pmmm (47)

[12]
Below is crystalline Be2Fe2Rh at its relaxed geometry, with properties calculated at the PBE level.

Cell: 6.0454 6.0454 2.8515 Å, 90.00 90.00 90.00°
Closest atoms and distances in Å follow each position.
Fractional positions:
Be: 0.1271 0.3729 0.0000  1 Be 2.17, 6 Fe 2.27-2.28, 2 Rh 2.38
Be: 0.3729 0.8729 0.0000  1 Be 2.17, 6 Fe 2.27-2.28, 2 Rh 2.38
Be: 0.6271 0.1271 0.0000  1 Be 2.17, 6 Fe 2.27-2.28, 2 Rh 2.38
Be: 0.8729 0.6271 0.0000  1 Be 2.17, 6 Fe 2.27-2.28, 2 Rh 2.38
Fe: 0.1657 0.6657 0.5000  6 Be 2.27-2.28
Fe: 0.3343 0.1657 0.5000  6 Be 2.27-2.28
Fe: 0.6657 0.8343 0.5000  6 Be 2.27-2.28
Fe: 0.8343 0.3343 0.5000  6 Be 2.27-2.28
Rh: 0.0000 0.0000 0.0000  4 Be 2.38
Rh: 0.5000 0.5000 0.0000  4 Be 2.38

Calculated values
Crystal system = tetragonal
ΔH_f (0 K) = -0.190 eV/atom
Magnetic moment = 0.940 μB per atom
Space-group type = P4/mbm (127)